[1]
A relaxed structure of La4Tb4Dy3. Source: the Alexandria database, functional PBE.

**Total energy**: -4.610 eV per atom
**Energy relative to the lowest polymorph listed for this composition**: 0.059 eV per atom
**Volume**: 381.6 Å³ per cell
**ΔH_f (0 K)**: 121 meV per atom

Cell lengths 12.126, 12.126, 12.126 Å; angles 162.78, 133.59, 49.86 degrees
Positions (direct):
La1 0.024 0.855 0.169
La2 0.315 0.145 0.169
La3 0.685 0.855 0.831
La4 0.976 0.145 0.831
Tb1 0.266 0.766 0.500
Tb2 0.314 0.000 0.314
Tb3 0.686 0.000 0.686
Tb4 0.734 0.234 0.500
Dy1 0.000 0.500 0.500
Dy2 0.396 0.396 0.000
Dy3 0.604 0.604 0.000

---

[2]
A relaxed structure of La2Tb5Dy2. Source: the Alexandria database, functional PBE.

**Total energy**: -4.488 eV per atom
**Energy relative to the lowest polymorph listed for this composition**: 0.000 eV per atom
**Volume**: 605.9 Å³ per cell
**ΔH_f (0 K)**: 202 meV per atom

Cell lengths 10.164, 10.164, 10.164 Å; angles 84.98, 108.00, 141.11 degrees
Positions (direct):
La1 0.003 0.127 0.130
La2 0.003 0.373 0.376
La3 0.997 0.627 0.624
La4 0.997 0.873 0.870
Tb1 0.111 0.411 0.805
Tb2 0.111 0.805 0.200
Tb3 0.391 0.901 0.990
Tb4 0.446 0.323 0.410
Tb5 0.446 0.536 0.624
Tb6 0.606 0.305 0.195
Tb7 0.606 0.911 0.800
Tb8 0.910 0.401 0.010
Tb9 0.912 0.036 0.590
Tb10 0.912 0.823 0.376
Dy1 0.452 0.211 0.742
Dy2 0.469 0.711 0.258
Dy3 0.538 0.038 0.500
Dy4 0.538 0.538 0.000

---

[3]
A relaxed structure of La3Tb2Dy5. Source: the Alexandria database, functional PBE.

**Total energy**: -4.519 eV per atom
**Volume**: 676.4 Å³ per cell
**ΔH_f (0 K)**: 187 meV per atom

Cell lengths 9.815, 9.815, 9.355 Å; angles 108.33, 108.33, 113.57 degrees
Positions (direct):
La1 0.017 0.270 0.047
La2 0.234 0.766 0.750
La3 0.270 0.017 0.547
La4 0.730 0.983 0.453
La5 0.766 0.234 0.250
La6 0.983 0.730 0.953
Tb1 0.232 0.466 0.457
Tb2 0.466 0.232 0.957
Tb3 0.534 0.768 0.043
Tb4 0.768 0.534 0.543
Dy1 0.025 0.975 0.750
Dy2 0.151 0.376 0.775
Dy3 0.275 0.725 0.250
Dy4 0.376 0.151 0.275
Dy5 0.470 0.530 0.250
Dy6 0.530 0.470 0.750
Dy7 0.624 0.849 0.725
Dy8 0.725 0.275 0.750
Dy9 0.849 0.624 0.225
Dy10 0.975 0.025 0.250

---

[4]
A relaxed structure of La2Tb5Dy12. Source: the Alexandria database, functional PBE.

**Total energy**: -4.589 eV per atom
**Energy relative to the lowest polymorph listed for this composition**: 0.000 eV per atom
**Volume**: 615.5 Å³ per cell
**ΔH_f (0 K)**: 55 meV per atom

Cell lengths 6.130, 8.869, 11.716 Å; angles 91.51, 103.41, 95.82 degrees
Positions (direct):
La1 0.213 0.473 0.421
La2 0.787 0.527 0.579
Tb1 0.000 0.000 0.000
Tb2 0.166 0.845 0.525
Tb3 0.454 0.691 0.049
Tb4 0.546 0.309 0.951
Tb5 0.834 0.155 0.475
Dy1 0.011 0.738 0.211
Dy2 0.097 0.375 0.110
Dy3 0.254 0.101 0.315
Dy4 0.338 0.945 0.831
Dy5 0.348 0.574 0.737
Dy6 0.415 0.209 0.634
Dy7 0.585 0.791 0.366
Dy8 0.652 0.426 0.263
Dy9 0.662 0.055 0.169
Dy10 0.746 0.899 0.685
Dy11 0.903 0.625 0.890
Dy12 0.989 0.262 0.789

---

[5]
A relaxed structure of La2Tb7Dy4. Source: the Alexandria database, functional PBE.

**Total energy**: -4.484 eV per atom
**Volume**: 431.8 Å³ per cell
**ΔH_f (0 K)**: 184 meV per atom

Cell lengths 6.113, 6.113, 13.342 Å; angles 90.00, 90.00, 120.00 degrees
Positions (direct):
La1 0.333 0.667 0.000
La2 0.667 0.333 0.000
Tb1 0.000 0.000 0.000
Tb2 0.000 0.358 0.782
Tb3 0.000 0.642 0.218
Tb4 0.358 0.000 0.782
Tb5 0.358 0.358 0.218
Tb6 0.642 0.000 0.218
Tb7 0.642 0.642 0.782
Dy1 0.000 0.000 0.395
Dy2 0.000 0.000 0.605
Dy3 0.333 0.667 0.500
Dy4 0.667 0.333 0.500

---

[6]
A relaxed structure of La5Tb3Dy. Source: the Alexandria database, functional PBE.

**Total energy**: -4.551 eV per atom
**Energy relative to the lowest polymorph listed for this composition**: 0.000 eV per atom
**Volume**: 653.1 Å³ per cell
**ΔH_f (0 K)**: 242 meV per atom

Cell lengths 10.090, 10.090, 11.575 Å; angles 114.48, 114.48, 38.07 degrees
Positions (direct):
La1 0.029 0.642 0.289
La2 0.099 0.901 0.750
La3 0.148 0.505 0.639
La4 0.358 0.971 0.211
La5 0.495 0.852 0.861
La6 0.505 0.148 0.139
La7 0.642 0.029 0.789
La8 0.852 0.495 0.361
La9 0.901 0.099 0.250
La10 0.971 0.358 0.711
Tb1 0.052 0.628 0.985
Tb2 0.372 0.948 0.515
Tb3 0.500 0.500 0.000
Tb4 0.500 0.500 0.500
Tb5 0.628 0.052 0.485
Tb6 0.948 0.372 0.015
Dy1 0.372 0.628 0.250
Dy2 0.628 0.372 0.750

---

[7]
A relaxed structure of La3Tb2Dy4. Source: the Alexandria database, functional PBE.

**Total energy**: -4.616 eV per atom
**Energy relative to the lowest polymorph listed for this composition**: 0.079 eV per atom
**Volume**: 599.2 Å³ per cell
**ΔH_f (0 K)**: 101 meV per atom

Cell lengths 10.152, 10.152, 6.185 Å; angles 96.17, 96.17, 71.51 degrees
Positions (direct):
La1 0.130 0.870 0.750
La2 0.202 0.467 0.915
La3 0.467 0.202 0.415
La4 0.533 0.798 0.585
La5 0.798 0.533 0.085
La6 0.870 0.130 0.250
Tb1 0.013 0.764 0.202
Tb2 0.236 0.987 0.298
Tb3 0.764 0.013 0.702
Tb4 0.987 0.236 0.798
Dy1 0.101 0.346 0.367
Dy2 0.321 0.567 0.465
Dy3 0.346 0.101 0.867
Dy4 0.433 0.679 0.035
Dy5 0.567 0.321 0.965
Dy6 0.654 0.899 0.133
Dy7 0.679 0.433 0.535
Dy8 0.899 0.654 0.633

---

[8]
A relaxed structure of La2Tb3Dy3. Source: the Alexandria database, functional PBE.

**Total energy**: -4.566 eV per atom
**Energy relative to the lowest polymorph listed for this composition**: 0.101 eV per atom
**Volume**: 538.5 Å³ per cell
**ΔH_f (0 K)**: 128 meV per atom

Cell lengths 9.000, 9.000, 16.932 Å; angles 90.00, 90.00, 156.88 degrees
Positions (direct):
La1 0.223 0.777 0.651
La2 0.223 0.777 0.849
La3 0.777 0.223 0.151
La4 0.777 0.223 0.349
Tb1 0.356 0.644 0.511
Tb2 0.356 0.644 0.989
Tb3 0.395 0.605 0.750
Tb4 0.605 0.395 0.250
Tb5 0.644 0.356 0.011
Tb6 0.644 0.356 0.489
Dy1 0.004 0.996 0.600
Dy2 0.004 0.996 0.900
Dy3 0.420 0.580 0.250
Dy4 0.580 0.420 0.750
Dy5 0.996 0.004 0.100
Dy6 0.996 0.004 0.400

---

[9]
A relaxed structure of La2TbDy12. Source: the Alexandria database, functional PBE.

**Total energy**: -4.488 eV per atom
**Volume**: 1003.0 Å³ per cell
**ΔH_f (0 K)**: 159 meV per atom

Cell lengths 6.697, 6.697, 24.866 Å; angles 90.00, 90.00, 115.92 degrees
Positions (direct):
La1 0.250 0.750 0.232
La2 0.250 0.750 0.768
La3 0.750 0.250 0.232
La4 0.750 0.250 0.768
Tb1 0.250 0.750 0.500
Tb2 0.750 0.250 0.500
Dy1 0.000 0.000 0.423
Dy2 0.000 0.000 0.577
Dy3 0.000 0.500 0.084
Dy4 0.000 0.500 0.375
Dy5 0.000 0.500 0.625
Dy6 0.000 0.500 0.916
Dy7 0.001 0.999 0.938
Dy8 0.250 0.250 0.173
Dy9 0.250 0.250 0.302
Dy10 0.250 0.250 0.698
Dy11 0.250 0.250 0.827
Dy12 0.499 0.501 0.938
Dy13 0.500 0.000 0.084
Dy14 0.500 0.000 0.375
Dy15 0.500 0.000 0.625
Dy16 0.500 0.000 0.916
Dy17 0.500 0.500 0.423
Dy18 0.500 0.500 0.577
Dy19 0.501 0.499 0.062
Dy20 0.750 0.750 0.173
Dy21 0.750 0.750 0.302
Dy22 0.750 0.750 0.698
Dy23 0.750 0.750 0.827
Dy24 0.999 0.001 0.062

---

What is the total energy in the fourth record? -4.589 eV per atom

---

The lowest total energy belongs to which entry? La3Tb2Dy4